The following is a DFT calculation (PBE) of a relaxed CaIn2Fe2 crystal.

Calculated values
- DFT total energy: -4.726 eV per atom
- Density of states at the Fermi level: 10.07 states/eV/cell

Cell: 4.475 4.475 10.461 Å, 90.00 90.00 90.00°
Space group I4/mmm (No. 139)
Symmetry-distinct sites (fractional):
Ca  0.000  0.000  0.000 [2 per cell]
In  0.000  0.500  0.250 [4 per cell]
Fe  0.000  0.000  0.400 [4 per cell]